Below is crystalline CrGa at its relaxed geometry, with properties calculated at the GGA-PBEsol level.

Cell: 7.623 7.623 7.623 Å, 109.33 109.33 109.33°
Sites, in units of the cell vectors:
Cr 0.000 0.000 0.000
Cr 0.107 0.320 0.320
Cr 0.301 0.301 0.638
Cr 0.301 0.638 0.301
Cr 0.320 0.107 0.320
Cr 0.320 0.320 0.107
Cr 0.362 0.699 0.699
Cr 0.638 0.301 0.301
Cr 0.680 0.680 0.893
Cr 0.680 0.893 0.680
Cr 0.699 0.362 0.699
Cr 0.699 0.699 0.362
Cr 0.893 0.680 0.680
Ga 0.000 0.388 0.612
Ga 0.000 0.612 0.388
Ga 0.047 0.047 0.693
Ga 0.047 0.693 0.047
Ga 0.307 0.953 0.953
Ga 0.388 0.000 0.612
Ga 0.388 0.612 0.000
Ga 0.500 0.500 0.500
Ga 0.612 0.000 0.388
Ga 0.612 0.388 0.000
Ga 0.693 0.047 0.047
Ga 0.953 0.307 0.953
Ga 0.953 0.953 0.307

Computed properties:
Symmetry = R-3m, No. 166
DOS(E_F) = 20.993 states/eV per cell
Energy of formation = -37 meV/atom
VASP energy = -6.828 eV/atom